Entry one
CaErPd: optimized geometry, PBE. Values from VASP.

Summary:
space-group type = Cm (8)
volume = 179.68 Å³/cell

Geometry as Quantum ESPRESSO input:
```
&SYSTEM
  ibrav = 0, nat = 6, ntyp = 3
/
ATOMIC_SPECIES
Ca 40.08 Ca.upf
Pd 106.42 Pd.upf
Er 167.26 Er.upf
CELL_PARAMETERS angstrom
-3.0837 -2.3751 0.5999
0.5501 -3.5913 1.5245
-0.0554 3.3915 13.1279
ATOMIC_POSITIONS angstrom
Ca -0.1801 1.3565 13.4543
Ca -0.6599 -1.8824 11.1169
Pd -2.3110 -4.2857 6.0418
Pd -1.8479 -0.9912 8.5506
Er -1.2980 -2.8759 3.9037
Er -0.8143 0.3499 6.2480
```


Entry two
CaErPd: optimized geometry, PBE. Values from VASP.

Summary:
space-group type = I4mm (107)
volume = 80.54 Å³/cell

Geometry as Quantum ESPRESSO input:
```
&SYSTEM
  ibrav = 0, nat = 3, ntyp = 3
/
ATOMIC_SPECIES
Er 167.26 Er.upf
Ca 40.08 Ca.upf
Pd 106.42 Pd.upf
CELL_PARAMETERS angstrom
-1.8458 1.2806 -2.7457
-3.0142 -1.1011 1.5127
1.8778 5.5377 3.6124
ATOMIC_POSITIONS angstrom
Er -0.3232 3.2932 1.7532
Ca -0.0306 0.3118 0.1660
Pd -2.6285 2.1122 0.4602
```


Entry three
CaErPd: optimized geometry, PBE. Values from VASP.

Summary:
space-group type = C2/m (12)
volume = 163.55 Å³/cell

Geometry as Quantum ESPRESSO input:
```
&SYSTEM
  ibrav = 0, nat = 6, ntyp = 3
/
ATOMIC_SPECIES
Ca 40.08 Ca.upf
Er 167.26 Er.upf
Pd 106.42 Pd.upf
CELL_PARAMETERS angstrom
4.0121 0.0666 0.0923
1.8957 6.9055 -0.2251
1.8469 1.4876 5.9158
ATOMIC_POSITIONS angstrom
Ca 3.9093 4.7304 1.1255
Ca 3.8454 3.7292 4.6575
Er 3.9599 1.0124 1.6655
Er 3.7948 7.4472 4.1175
Pd 1.9053 2.7460 2.4526
Pd 5.8494 5.7137 3.3304
```


Most stable one: entry three, least stable one: entry one.


Entry one
CaEr2Pd: optimized geometry, PBE. Values from VASP.

Summary:
space-group type = R-3m (166)
volume = 129.77 Å³/cell

Geometry as Quantum ESPRESSO input:
```
&SYSTEM
  ibrav = 0, nat = 4, ntyp = 3
/
ATOMIC_SPECIES
Er 167.26 Er.upf
Ca 40.08 Ca.upf
Pd 106.42 Pd.upf
CELL_PARAMETERS angstrom
3.9990 0.0000 0.0000
1.9995 3.4632 0.0000
1.9995 1.1544 9.3701
ATOMIC_POSITIONS angstrom
Er 1.9995 1.1544 1.5459
Er 5.9984 3.4632 7.8242
Ca 3.9990 2.3088 4.6851
Pd 0.0000 0.0000 0.0000
```


Entry two
CaEr2Pd: optimized geometry, PBE. Values from VASP.

Summary:
space-group type = P4/mmm (123)
volume = 114.73 Å³/cell

Geometry as Quantum ESPRESSO input:
```
&SYSTEM
  ibrav = 0, nat = 4, ntyp = 3
/
ATOMIC_SPECIES
Er 167.26 Er.upf
Ca 40.08 Ca.upf
Pd 106.42 Pd.upf
CELL_PARAMETERS angstrom
-1.5690 -1.3494 2.8158
2.9113 -1.7714 0.7733
3.0348 7.2405 5.1610
ATOMIC_POSITIONS angstrom
Er 0.5431 1.2957 0.9236
Er 2.4917 5.9447 4.2374
Ca 2.1886 2.0598 4.3750
Pd 0.6711 -1.5604 1.7945
```


Most stable one: entry two, least stable one: entry one.


Entry one
CaErPdRh: optimized geometry, PBE. Values from VASP.

Summary:
space-group type = P4mm (99)
volume = 83.27 Å³/cell

Geometry as Quantum ESPRESSO input:
```
&SYSTEM
  ibrav = 0, nat = 4, ntyp = 4
/
ATOMIC_SPECIES
Pd 106.42 Pd.upf
Rh 102.91 Rh.upf
Er 167.26 Er.upf
Ca 40.08 Ca.upf
CELL_PARAMETERS angstrom
-1.7199 0.4277 -2.9084
-2.2397 -2.3731 0.9755
-4.0132 5.0695 3.1188
ATOMIC_POSITIONS angstrom
Pd -4.3323 1.9990 0.8618
Rh -2.5010 -0.3143 -0.5614
Er -1.4045 1.7741 1.0915
Ca -3.4590 4.3695 2.6882
```


Entry two
CaErPdRh: optimized geometry, PBE. Values from VASP.

Summary:
space-group type = F-43m (216)
volume = 81.82 Å³/cell

Geometry as Quantum ESPRESSO input:
```
&SYSTEM
  ibrav = 0, nat = 4, ntyp = 4
/
ATOMIC_SPECIES
Rh 102.91 Rh.upf
Ca 40.08 Ca.upf
Er 167.26 Er.upf
Pd 106.42 Pd.upf
CELL_PARAMETERS angstrom
-4.0783 2.6266 -0.4630
-3.1267 0.3218 3.7237
-0.4805 4.2011 2.4219
ATOMIC_POSITIONS angstrom
Rh -3.8428 3.5748 2.8413
Ca -5.7642 5.3621 4.2620
Er -1.9214 1.7874 1.4207
Pd 0.0000 0.0000 0.0000
```


Most stable one: entry one, least stable one: entry two.


Entry one
CaPmEr2: optimized geometry, PBE. Values from VASP.

Summary:
space-group type = R3m (160)
volume = 134.65 Å³/cell

Geometry as Quantum ESPRESSO input:
```
&SYSTEM
  ibrav = 0, nat = 4, ntyp = 3
/
ATOMIC_SPECIES
Ca 40.08 Ca.upf
Er 167.26 Er.upf
Pm 145.00 Pm.upf
CELL_PARAMETERS angstrom
-2.1904 -1.7587 -2.2534
-2.2072 -2.5516 1.2594
-9.9683 6.8176 1.4909
ATOMIC_POSITIONS angstrom
Ca -7.1701 1.2412 0.2457
Er -7.9455 4.8539 1.0574
Er -3.4898 0.5281 0.1024
Pm -2.9434 -2.8622 -0.6601
```


Entry two
CaPmEr2: optimized geometry, PBE. Values from VASP.

Summary:
space-group type = P4/mmm (123)
volume = 133.30 Å³/cell

Geometry as Quantum ESPRESSO input:
```
&SYSTEM
  ibrav = 0, nat = 4, ntyp = 3
/
ATOMIC_SPECIES
Er 167.26 Er.upf
Ca 40.08 Ca.upf
Pm 145.00 Pm.upf
CELL_PARAMETERS angstrom
-3.6221 -3.4127 -1.3601
2.8112 -3.7603 1.9484
-2.2802 0.6268 4.4996
ATOMIC_POSITIONS angstrom
Er -1.1401 0.3134 2.2498
Er 1.4056 -1.8801 0.9742
Ca -1.8111 -1.7063 -0.6801
Pm -1.5456 -3.2730 2.5440
```


Most stable one: entry one, least stable one: entry two.